No. 1
Below is a relaxed RbTl3CdPb crystal, with properties calculated at the GGA-PBE level.

Cell and atoms, written as POSCAR:
```
RbTl3CdPb
1.0
3.408 -9.862 0.000
3.408 9.862 0.000
0.000 0.000 6.717
Rb Tl Cd Pb
2 6 2 2
Direct
0.201 0.799 0.750
0.799 0.201 0.250
0.243 0.243 0.000
0.243 0.243 0.500
0.380 0.620 0.250
0.620 0.380 0.750
0.757 0.757 0.000
0.757 0.757 0.500
0.383 0.617 0.750
0.617 0.383 0.250
0.115 0.885 0.250
0.885 0.115 0.750
```

Total DFT energy (no corrections)   -2.085 eV/atom
Total moment   0.000 μB/atom
E_form   0.03 eV/atom



No. 2
Below is a relaxed Cu3I3Br crystal, with properties calculated at the GGA-PBE level.

Cell and atoms, written as POSCAR:
```
Cu3I3Br
1.0
8.352 0.000 0.000
-4.176 7.233 0.000
0.000 0.000 7.754
Cu I Br
6 6 2
Direct
0.167 0.334 0.250
0.167 0.833 0.250
0.334 0.167 0.750
0.666 0.833 0.250
0.833 0.167 0.750
0.833 0.666 0.750
0.177 0.355 0.750
0.177 0.823 0.750
0.355 0.177 0.250
0.645 0.823 0.750
0.823 0.177 0.250
0.823 0.645 0.250
0.333 0.667 0.250
0.667 0.333 0.750
```

Raw formation energy   -1.0 eV per formula unit
Distance to the lowest polymorph of the same formula   0.063 eV per atom
Total DFT energy (no corrections)   -2.799 eV/atom
Total moment   0.000 μB/atom